Record 1
PmHoPtRh | Alexandria | GGA-PBE | optimized geometry; energy above the most stable polymorph in this dataset = 0.0000 eV per atom; DOS(E_F) = 0.5844 states/eV per atom; magnetization = 0.00 μB/f.u.; energy relative to the elements = -1.0088 eV per atom
1.0
4.384 0.000 0.000
0.000 1.917 5.332
0.000 -1.917 5.332
Pm Ho Pt Rh
1 1 1 1
Direct
0.000 0.000 0.000
0.500 0.718 0.718
0.500 0.439 0.439
0.000 0.265 0.265

Record 2
PmSmDy2Er5 | Alexandria | GGA-PBE | optimized geometry; DOS(E_F) = 1.2043 states/eV per atom; magnetization = 0.00 μB/f.u.; energy relative to the elements = 0.2832 eV per atom
1.0
-4.401 4.401 7.436
4.401 -4.401 7.436
4.401 4.401 -7.436
Pm Sm Dy Er
2 2 4 10
Direct
0.250 0.250 0.000
0.750 0.750 0.000
0.250 0.750 0.500
0.750 0.250 0.500
0.115 0.615 0.729
0.385 0.115 0.500
0.615 0.885 0.500
0.885 0.385 0.271
0.000 0.000 0.000
0.072 0.162 0.500
0.162 0.662 0.090
0.338 0.428 0.500
0.428 0.928 0.090
0.500 0.500 0.000
0.572 0.072 0.910
0.662 0.572 0.500
0.838 0.338 0.910
0.928 0.838 0.500